Below is an optimized crystal structure of Rb2TcMoN4, with properties calculated at the PBE-GGA level.

Cell: 6.0772 6.0772 6.0772 Å, 120.98 120.98 88.30°
Closest atoms and distances in Å follow each position.
Sites, in units of the cell vectors:
Rb  0.7500  0.2500  0.5000  8 N 3.27-3.61
Rb  0.5000  0.5000  0.0000  8 N 3.27-3.61
Mo  0.0000  0.0000  0.0000  4 N 1.89
N  0.1258  0.8244  0.2015  1 Tc 1.87, 1 Mo 1.89
N  0.6228  0.9243  0.7985  1 Tc 1.87, 1 Mo 1.89
N  0.1756  0.3772  0.3015  1 Tc 1.87, 1 Mo 1.89
N  0.0757  0.8742  0.6985  1 Tc 1.87, 1 Mo 1.89
Tc  0.2500  0.7500  0.5000  4 N 1.87

Output
calculated total energy	-58.66	eV per cell
calculated density	4473	kg/m3